(1)
Ge3PbO | GGA-PBE | optimized geometry

Cell and atoms, written as extended XYZ:
```
5
Lattice="-2.9739 4.5725 0.6407 -4.1032 -2.2678 -2.8605 -2.1170 -2.0276 4.6442" Properties=species:S:1:pos:R:3 pbc="T T T"
Ge -2.0516 -1.1339 -1.4302
Ge -1.0585 -1.0138 2.3221
Ge -1.4869 2.2862 0.3204
O -4.5970 0.1385 1.2122
Pb 0.0000 0.0000 0.0000
```

energy above the lowest structure with this stoichiometry: 1453 meV/atom
density of states at the Fermi level: 0.929 states/eV/atom
space group: No. 221
crystal system: cubic
raw formation energy: 1.4344 eV per atom

(2)
GePbO3 | GGA-PBE | optimized geometry

Cell and atoms, written as extended XYZ:
```
5
Lattice="-1.9031 -3.0403 2.1541 -0.1159 -2.3693 -3.4464 3.7242 -1.6273 0.9935" Properties=species:S:1:pos:R:3 pbc="T T T"
Pb 0.0000 0.0000 0.0000
O 1.8621 -0.8136 0.4967
Ge 0.8527 -3.5184 -0.1494
O -0.0579 -1.1847 -1.7232
O -0.9515 -1.5201 1.0770
```

density of states at the Fermi level: 0.059 states/eV/atom
space group: No. 221
crystal system: cubic
raw formation energy: -0.3494 eV per atom

(3)
GePb2O4 | GGA-PBE | optimized geometry

Cell and atoms, written as extended XYZ:
```
7
Lattice="5.9954 0.0037 -0.0020 -0.0044 5.9954 0.0020 -2.9941 -3.0009 3.3693" Properties=species:S:1:pos:R:3 pbc="T T T"
O 1.7020 1.7014 3.3681
Pb -0.0019 2.9967 1.6861
O 4.6988 1.2985 0.0011
O -1.7019 1.6996 3.3698
Ge 2.9969 2.9981 3.3692
O -1.6991 -1.7042 3.3681
Pb 2.9988 0.0015 1.6841
```

energy above the lowest structure with this stoichiometry: 94 meV/atom
space group: No. 139
crystal system: tetragonal
raw formation energy: -1.0746 eV per atom

(4)
GePb3O6 | GGA-PBE | optimized geometry

Cell and atoms, written as extended XYZ:
```
20
Lattice="-3.0767 -1.0555 4.3448 4.6870 -5.8903 1.8880 3.1401 6.0590 3.6955" Properties=species:S:1:pos:R:3 pbc="T T T"
Pb 3.1603 0.3099 8.9777
O 3.0751 5.0243 3.8179
Pb 1.1669 -2.0357 6.7062
Ge 2.7579 -3.7686 4.5282
O 1.0194 -3.2286 4.6470
O 4.0718 2.4588 4.8001
Ge 3.4393 3.3782 3.3570
O 1.3957 2.3057 6.2542
Pb -1.6953 0.2052 5.5138
Pb 0.1565 -1.6884 2.9752
O 2.8327 -5.5140 4.4761
O 2.1590 -0.4147 2.8488
O 4.4442 -0.3654 4.4790
Pb 5.0121 -1.5838 6.4390
O 0.5551 -0.4360 5.0978
O 1.8959 2.4119 3.2479
Pb 2.4132 0.7475 4.8749
O 3.1953 -3.1817 6.1992
O 2.8403 -0.3867 6.7280
O 3.6988 -3.0744 3.1882
```

space group: No. 36
crystal system: orthorhombic
raw formation energy: -1.1930 eV per atom

(5)
GePbO2 | GGA-PBE | optimized geometry

Cell and atoms, written as extended XYZ:
```
4
Lattice="5.7603 -1.8395 3.5104 6.8676 0.5442 1.1950 5.3715 1.5746 4.1898" Properties=species:S:1:pos:R:3 pbc="T T T"
O 16.3178 0.2532 8.0642
O 1.6816 0.0261 0.8310
Pb 8.9997 0.1397 4.4476
Ge 0.0000 0.0000 0.0000
```

energy above the lowest structure with this stoichiometry: 168 meV/atom
density of states at the Fermi level: 0.025 states/eV/atom
space group: No. 166
crystal system: trigonal
raw formation energy: -0.7483 eV per atom

(6)
Ge3PbO | GGA-PBE | optimized geometry

Cell and atoms, written as extended XYZ:
```
5
Lattice="-2.7713 3.1467 -1.9745 -0.7905 -2.9066 -3.5225 -3.6299 -1.7695 2.2747" Properties=species:S:1:pos:R:3 pbc="T T T"
Ge -0.3952 -1.4533 -1.7613
Ge -1.3857 1.5734 -0.9873
Ge -1.8149 -0.8848 1.1373
Pb -3.5958 -0.7647 -1.6112
O 0.0000 0.0000 0.0000
```

energy above the lowest structure with this stoichiometry: 0 meV/atom
density of states at the Fermi level: 0.151 states/eV/atom
space group: No. 221
crystal system: cubic
raw formation energy: -0.0188 eV per atom

(7)
GePbO2 | GGA-PBE | optimized geometry

Cell and atoms, written as extended XYZ:
```
8
Lattice="-1.7123 -2.5676 -4.5834 5.1150 0.2853 -2.0707 2.7097 -5.2497 -1.4022" Properties=species:S:1:pos:R:3 pbc="T T T"
O 4.2858 -5.9747 -6.5810
O 4.0322 -4.7528 -3.8400
O 3.4180 -1.8184 -2.8663
Ge 1.7014 -1.1412 -3.3271
Ge 4.7630 -3.0528 -3.4000
O 0.4889 -2.5182 -2.8254
Pb 0.0000 0.0000 0.0000
Pb 1.3494 -4.4792 -4.6564
```

energy above the lowest structure with this stoichiometry: 115 meV/atom
density of states at the Fermi level: 0.054 states/eV/atom
space group: No. 122
crystal system: tetragonal
raw formation energy: -0.8016 eV per atom

(8)
Ge2Pb2O5 | GGA-PBE | optimized geometry

Cell and atoms, written as extended XYZ:
```
9
Lattice="4.1817 0.0000 0.0000 -2.0909 5.8019 -0.5495 0.0000 -1.3119 5.9002" Properties=species:S:1:pos:R:3 pbc="T T T"
Pb 2.0909 0.8439 1.8539
O 2.0909 3.1934 2.0879
O 0.0000 1.2966 3.2628
O 0.0000 0.0000 0.0000
Ge 2.0909 3.8960 0.3491
Pb 0.0000 3.6460 3.4967
Ge 0.0000 0.5939 5.0015
O 2.0909 0.8989 5.3493
O 0.0000 3.5911 0.0013
```

energy above the lowest structure with this stoichiometry: 82 meV/atom
density of states at the Fermi level: 0.068 states/eV/atom
space group: No. 12
crystal system: monoclinic
raw formation energy: -1.1212 eV per atom

(9)
PuGePbO6 | GGA-PBE | optimized geometry

Cell and atoms, written as extended XYZ:
```
9
Lattice="5.3595 0.0001 0.0000 2.6799 4.6414 0.0000 0.0001 -0.0002 5.4314" Properties=species:S:1:pos:R:3 pbc="T T T"
Pb 8.0393 4.6413 5.4313
O 3.5963 2.8721 1.6234
O 4.2856 1.6784 3.8079
O 1.0739 1.6784 1.6234
Pu 5.3595 3.0943 2.7156
O 3.3689 0.0909 1.6233
O 1.7632 2.8721 3.8080
O 1.9905 0.0908 3.8079
Ge 2.6798 1.5471 2.7156
```

density of states at the Fermi level: 0.696 states/eV/atom
space group: No. 149
crystal system: trigonal
raw formation energy: -1.8356 eV per atom

(10)
PuGePbO5 | GGA-PBE | optimized geometry

Cell and atoms, written as extended XYZ:
```
16
Lattice="6.0823 -0.0178 -0.0127 -1.7925 5.8122 -0.0127 -1.7984 -2.4291 7.2331" Properties=species:S:1:pos:R:3 pbc="T T T"
O 1.7648 1.2473 0.6316
O -0.2214 0.8375 4.2482
Pu -0.8992 -1.2146 3.6166
O 3.2629 -0.3022 2.7051
O 4.6321 1.5473 0.8860
O 2.7128 2.5278 2.9594
Pb 2.1388 0.0813 5.4121
Pu 0.0000 0.0000 0.0000
Ge 3.1130 1.2404 1.7955
O -0.7715 3.6675 4.5025
Pb 0.3526 3.2840 1.7955
O 0.7266 2.1180 6.5760
O 4.0815 -1.3569 5.4121
Ge -0.6216 2.1249 5.4121
O -1.5901 4.7222 1.7955
O -2.1407 1.8180 6.3217
```

density of states at the Fermi level: 0.230 states/eV/atom
space group: No. 15
crystal system: monoclinic
raw formation energy: -2.0523 eV per atom

(11)
RbGePbO4 | GGA-PBE | optimized geometry

Cell and atoms, written as extended XYZ:
```
14
Lattice="6.0269 0.0000 0.0203 0.0000 6.0768 0.0000 -2.3450 0.0000 7.2914" Properties=species:S:1:pos:R:3 pbc="T T T"
O 1.5048 1.5192 5.8617
O -0.3976 5.9265 2.3204
Pb 3.6644 4.5576 3.4051
Ge 0.7655 4.5576 2.5238
O 2.1771 4.5576 1.4500
Rb 1.6841 1.5192 0.4460
O 2.2181 1.5192 3.1594
O 1.4638 4.5576 4.1523
O -0.3976 3.1887 2.3204
Pb 0.0175 1.5192 3.9066
Ge 2.9163 1.5192 4.7880
O 4.0795 0.1503 4.9913
Rb 1.9978 4.5576 6.8657
O 4.0795 2.8881 4.9913
```

density of states at the Fermi level: 0.483 states/eV/atom
space group: No. 11
crystal system: monoclinic
raw formation energy: -1.3959 eV per atom

(12)
Rb2Ge2PbO6 | GGA-PBE | optimized geometry

Cell and atoms, written as extended XYZ:
```
11
Lattice="-2.1473 3.5901 -4.6660 5.1536 -3.4489 -0.8171 -6.3810 -3.9793 -0.1252" Properties=species:S:1:pos:R:3 pbc="T T T"
O -3.7237 -2.0233 -4.0513
O -0.1757 -5.5959 -2.0069
O -3.1991 1.7578 -3.6013
O -2.0674 -0.1343 -1.1423
Rb -0.1085 0.7021 -3.6181
O 0.3490 -1.8148 -1.5570
Pb -4.2642 -0.1946 -2.3956
Rb -3.2662 -4.5402 -1.9902
Ge -2.4387 -2.5555 -5.0522
O -1.3073 -3.7038 -4.4660
Ge -0.9361 -1.2826 -0.5561
```

density of states at the Fermi level: 0.000 states/eV/atom
space group: No. 12
crystal system: monoclinic
raw formation energy: -1.4565 eV per atom

(13)
Rb2GePbO | GGA-PBE | optimized geometry

Cell and atoms, written as extended XYZ:
```
5
Lattice="-2.2162 -5.6208 3.3501 4.1759 -1.2771 0.6197 0.1803 3.4832 5.9634" Properties=species:S:1:pos:R:3 pbc="T T T"
Rb 0.0902 1.7416 2.9817
O 2.0879 -0.6386 0.3098
Ge 1.0700 -1.7073 4.9666
Rb -1.1081 -2.8104 1.6751
Pb 0.0000 0.0000 0.0000
```

density of states at the Fermi level: 0.775 states/eV/atom
space group: No. 123
crystal system: tetragonal
raw formation energy: 0.2021 eV per atom

(14)
GeRhPbO5 | GGA-PBE | optimized geometry

Cell and atoms, written as extended XYZ:
```
16
Lattice="-2.9778 0.7254 4.9249 4.7086 -3.0873 1.3945 2.5741 6.6584 -1.5867" Properties=species:S:1:pos:R:3 pbc="T T T"
O 5.2554 3.8896 0.0464
O 1.7477 1.4603 3.9462
O 4.8128 -1.1552 1.2456
Pb 1.5065 4.4525 2.5619
Rh 1.2870 3.3292 -0.7934
O 4.8728 1.4859 1.8095
O 4.1180 4.2522 2.6553
O -0.5078 5.4517 3.4871
O 0.1870 0.0443 2.0774
Rh 0.0000 0.0000 0.0000
O -0.9505 0.4069 4.6863
Ge 0.0491 1.2078 3.4335
Ge 4.2559 3.0887 1.2992
Pb 2.7985 -0.1560 2.1708
O 2.5572 2.8362 0.7865
O -0.5679 2.8106 2.9232
```

density of states at the Fermi level: 0.371 states/eV/atom
space group: No. 15
crystal system: monoclinic
raw formation energy: -1.1553 eV per atom

(15)
GeRhPbO2 | GGA-PBE | optimized geometry

Cell and atoms, written as extended XYZ:
```
5
Lattice="3.8101 0.0000 0.0000 0.0000 5.2135 0.0000 0.0000 0.0000 3.8101" Properties=species:S:1:pos:R:3 pbc="T T T"
Rh 0.0000 2.6068 0.0000
Ge 0.0000 0.0000 0.0000
O 1.9050 0.0000 0.0000
Pb 1.9050 2.6068 1.9050
O 0.0000 0.0000 1.9050
```

density of states at the Fermi level: 0.506 states/eV/atom
space group: No. 123
crystal system: tetragonal
raw formation energy: -0.4144 eV per atom

(16)
Ge2Pb5SO12 | GGA-PBE | optimized geometry

Cell and atoms, written as extended XYZ:
```
40
Lattice="-0.0931 -4.5130 5.9505 -3.6634 -7.6586 -5.8658 6.6196 -6.3467 -4.7100" Properties=species:S:1:pos:R:3 pbc="T T T"
O 1.5494 -15.4345 -4.0362
O 2.8571 -5.9432 0.2245
Pb -1.0371 -9.6355 -2.6367
O -1.9144 -8.3929 -0.1866
Ge 0.5526 -11.4444 -8.6711
O 1.5773 -3.8761 0.2485
Pb -1.6713 -9.1763 -6.9857
O -0.0484 -3.6210 -2.7471
O 0.4336 -5.8993 -4.4674
Pb 3.9326 -6.8002 -5.0960
Pb 1.0038 -8.1802 1.0096
O 4.5694 -12.1447 -1.5201
O -0.0776 -11.7393 -4.2173
O 3.5816 -10.1906 -7.6729
S -2.1043 -6.9880 -0.6455
O -1.8842 -6.9281 -2.1179
O 0.3222 -10.0213 -7.5954
S 2.3936 -4.7900 1.0919
Ge 5.0221 -9.3115 -6.9836
O -0.5467 -11.5707 -1.1429
O -0.4881 -8.7267 -4.8927
O 2.6693 -4.4467 -3.3308
Pb 2.0335 -12.7296 -2.4973
O 3.1547 -12.8395 -5.0012
O 2.8721 -10.3481 -3.1160
O 1.5471 -5.3432 2.1829
O 3.2781 -7.4449 -2.6554
O 3.2434 -9.1275 -0.4369
O -1.0753 -6.1092 0.0371
Pb 5.2742 -10.5436 -3.2267
O 1.6081 -12.5864 -7.7915
Ge 2.5243 -8.9480 -2.0596
O 0.7855 -8.6603 -1.8686
Pb 4.7747 -7.0927 -0.6173
Pb 1.0537 -5.7629 -2.1776
Pb 3.5617 -11.9971 -9.0432
Pb 2.0819 -10.3822 -5.5924
O 2.0448 -7.8404 -5.9144
Ge 0.3579 -7.2964 -5.5282
O 4.6277 -9.3218 -5.2422
```

density of states at the Fermi level: 0.000 states/eV/atom
space group: No. 6
crystal system: monoclinic
raw formation energy: -1.4277 eV per atom

(17)
GePbS2O8 | GGA-PBE | optimized geometry

Cell and atoms, written as extended XYZ:
```
12
Lattice="5.0267 0.0000 0.0000 2.5134 4.3533 0.0000 2.5134 1.4511 7.4372" Properties=species:S:1:pos:R:3 pbc="T T T"
S 7.5401 4.3533 5.5243
O 3.2916 3.1665 5.9995
O 6.1232 4.2726 5.9995
O 6.7618 2.6378 1.4377
Ge 0.0000 0.0000 0.0000
O 3.9302 1.5317 1.4377
S 2.5134 1.4511 1.9128
O 4.3881 4.5370 1.4377
O 7.5401 4.3533 4.0281
Pb 5.0267 2.9022 3.7186
O 2.5134 1.4511 3.4091
O 5.6653 1.2674 5.9995
```

density of states at the Fermi level: 0.000 states/eV/atom
space group: No. 148
crystal system: trigonal
raw formation energy: -1.3058 eV per atom

(18)
Ge2SbPbO8 | GGA-PBE | optimized geometry

Cell and atoms, written as extended XYZ:
```
12
Lattice="-1.8157 1.0098 4.4886 1.1947 -2.8628 3.8525 6.0597 4.0084 4.2745" Properties=species:S:1:pos:R:3 pbc="T T T"
Ge 3.9485 1.5202 9.4306
Sb 2.7194 1.0777 6.3078
O 2.6420 -0.8926 5.8696
Ge 1.4902 0.6352 3.1850
O 3.3632 2.7330 5.3456
O 3.1738 2.1447 7.9617
O 4.6859 0.6178 6.3468
O 0.1028 -0.3890 2.8542
O 5.3360 2.5444 9.7614
O 1.1256 0.6445 7.4707
O 1.3258 1.2189 4.8524
Pb 0.0000 0.0000 0.0000
```

density of states at the Fermi level: 0.633 states/eV/atom
space group: No. 155
crystal system: trigonal
raw formation energy: -1.1655 eV per atom

(19)
GeSbPbO6 | GGA-PBE | optimized geometry

Cell and atoms, written as extended XYZ:
```
18
Lattice="-0.1563 3.0668 -4.2327 -3.5739 -3.7642 0.6349 -5.9159 6.4408 4.8851" Properties=species:S:1:pos:R:3 pbc="T T T"
O -0.9447 2.0331 -0.8970
Sb -3.9137 0.1230 0.2336
O -4.4915 2.9922 -2.0413
O -7.3898 1.5423 2.2157
O -5.1546 2.7512 3.3286
Ge -6.8716 3.3434 2.6762
Sb -5.7324 5.6204 1.0537
O -8.7014 3.7102 2.1843
O -3.4831 2.0834 0.3781
O -6.4816 5.2226 2.8785
O -3.1645 0.5207 -1.5911
Ge -2.7745 2.4000 -1.3889
O -7.3393 3.1739 4.5409
Pb -2.9579 3.2204 2.4426
O -2.3068 2.5694 -3.2536
O -2.2563 4.2011 -0.9283
Pb 0.0000 0.0000 0.0000
O -6.1630 3.6600 0.9092
```

density of states at the Fermi level: 0.302 states/eV/atom
space group: No. 163
crystal system: trigonal
raw formation energy: -1.3615 eV per atom

(20)
Sc4GePbO | GGA-PBE | optimized geometry

Cell and atoms, written as extended XYZ:
```
14
Lattice="-2.8863 3.8004 3.6325 -0.1766 -4.2237 4.2786 8.1879 0.5985 0.9289" Properties=species:S:1:pos:R:3 pbc="T T T"
Pb 5.3005 0.9241 3.2449
Pb -0.1755 -0.7489 5.5950
O 1.7919 2.0591 4.2205
Ge 3.6146 0.6552 7.1376
Sc 2.6508 2.1995 2.2807
Ge 1.5104 -0.4800 1.7024
Sc 5.4216 -1.1102 5.4694
Sc 2.5625 0.0876 4.4200
Sc 0.8128 -2.8176 3.5937
O 3.3331 -1.8839 4.6194
Sc 4.3121 2.9928 5.2463
Sc 4.0940 0.2993 0.4644
Sc 4.0057 -1.8126 2.6037
Sc -0.2966 1.2854 3.3705
```

density of states at the Fermi level: 0.836 states/eV/atom
space group: No. 63
crystal system: orthorhombic
raw formation energy: -1.2434 eV per atom